Material: CuPdBr2
Method: DFT, GGA-PBE
State: optimized geometry

Cell lengths 4.801, 4.801, 4.801 Å; angles 60.00, 60.00, 60.00 degrees
Last column: magnetic moment on the atom in μB.
Atoms (fractional coordinates):
Cu: 0.000 0.000 0.000  -0.11
Br: 0.250 0.250 0.250  -0.15
Br: 0.750 0.750 0.750  -0.15
Pd: 0.500 0.500 0.500  -0.56

excess energy over the best structure of this formula in the dataset	341	meV/atom

=====

Material: CuPd2Br6
Method: DFT, GGA-PBE
State: optimized geometry

Cell lengths 11.607, 7.322, 7.322 Å; angles 110.09, 83.90, 83.90 degrees
Last column: magnetic moment on the atom in μB.
Atoms (fractional coordinates):
Cu: 0.250 0.084 0.916  0.25
Cu: 0.750 0.916 0.084  0.25
Pd: 0.385 0.521 0.696  0.06
Pd: 0.115 0.304 0.479  0.06
Pd: 0.615 0.479 0.304  0.06
Pd: 0.885 0.696 0.521  0.06
Br: 0.431 0.704 0.476  0.01
Br: 0.069 0.524 0.296  0.01
Br: 0.569 0.296 0.524  0.01
Br: 0.931 0.476 0.704  0.01
Br: 0.863 0.929 0.349  0.06
Br: 0.637 0.651 0.071  0.06
Br: 0.137 0.071 0.651  0.06
Br: 0.363 0.349 0.929  0.06
Br: 0.205 0.753 0.869  0.07
Br: 0.295 0.131 0.247  0.07
Br: 0.795 0.247 0.131  0.07
Br: 0.705 0.869 0.753  0.07

excess energy over the best structure of this formula in the dataset	0	meV/atom

=====

Material: Cu2PdBr
Method: DFT, GGA-PBE
State: optimized geometry

Cell lengths 4.485, 4.485, 4.485 Å; angles 60.00, 60.00, 60.00 degrees
Atoms (fractional coordinates):
Cu: 0.250 0.250 0.250
Cu: 0.750 0.750 0.750
Br: 0.000 0.000 0.000
Pd: 0.500 0.500 0.500

excess energy over the best structure of this formula in the dataset	0	meV/atom

=====

Values of M_tot, in order: 1.00; 1.47; 0.00, all in μB/cell.
Values of energy relative to the elements, uncorrected, in order: 0.313; -0.267; 0.354, all in eV/atom.
Values of N(E_F), in order: 0.64; 0.41; 0.35, all in states/eV/atom.